# 1
The following is a PBE calculation of crystalline InPBr2 at its relaxed geometry, from Alexandria via LeMat-Bulk.

a = 3.6119 Å, b = 3.6119 Å, c = 26.9094 Å
α = 90.00°, β = 90.00°, γ = 120.00°
With the nearest neighbours (Å) after each atom.
Fractional coordinates of all 12 atoms:
In (0.0000, 0.0000, 0.0000)  6 Br 3.19
In (0.3333, 0.6667, 0.6667)  6 Br 3.19
In (0.6667, 0.3333, 0.3333)  6 Br 3.19
P (0.0000, 0.0000, 0.5000)  6 Br 2.94
P (0.3333, 0.6667, 0.1667)  6 Br 2.94
P (0.6667, 0.3333, 0.8333)  6 Br 2.94
Br (0.0000, 0.0000, 0.2438)  3 P 2.94, 3 In 3.19
Br (0.0000, 0.0000, 0.7562)  3 P 2.94, 3 In 3.19
Br (0.3333, 0.6667, 0.4228)  3 P 2.94, 3 In 3.19
Br (0.3333, 0.6667, 0.9105)  3 P 2.94, 3 In 3.19
Br (0.6667, 0.3333, 0.0895)  3 P 2.94, 3 In 3.19
Br (0.6667, 0.3333, 0.5772)  3 P 2.94, 3 In 3.19

Computed properties:
* ρ: 5.007 g cm⁻³
* spin magnetization: 0.00 μB per atom
* ΔE to the lowest computed polymorph: 729 meV per atom
* total DFT energy (no corrections): -30.47 eV per cell
* formation energy without anion corrections: 0.335 eV per atom



# 2
The following is a PBE calculation of crystalline InPBr at its relaxed geometry, from Alexandria via LeMat-Bulk.

a = 3.9152 Å, b = 5.9749 Å, c = 14.1893 Å
α = 90.00°, β = 90.00°, γ = 90.00°
With the nearest neighbours (Å) after each atom.
Fractional coordinates of all 12 atoms:
In (0.0000, 0.0000, 0.0000)  2 P 2.57, 2 Br 2.83
In (0.0000, 0.5000, 0.5000)  2 P 2.57, 2 Br 2.83
In (0.5000, 0.0000, 0.5000)  2 P 2.57, 2 Br 2.83
In (0.5000, 0.5000, 0.0000)  2 P 2.57, 2 Br 2.83
P (0.0000, 0.0000, 0.3821)  2 In 2.57
P (0.0000, 0.5000, 0.8821)  2 In 2.57
P (0.5000, 0.0000, 0.8821)  2 In 2.57
P (0.5000, 0.5000, 0.3821)  2 In 2.57
Br (0.0000, 0.0000, 0.6442)  2 In 2.83
Br (0.0000, 0.5000, 0.1442)  2 In 2.83
Br (0.5000, 0.0000, 0.1442)  2 In 2.83
Br (0.5000, 0.5000, 0.6442)  2 In 2.83

Computed properties:
* ρ: 4.516 g cm⁻³
* spin magnetization: 0.00 μB per atom
* ΔE to the lowest computed polymorph: 342 meV per atom
* total DFT energy (no corrections): -36.87 eV per cell
* formation energy without anion corrections: 0.201 eV per atom



# 3
The following is a PBE calculation of crystalline InPBr2 at its relaxed geometry, from Alexandria via LeMat-Bulk.

a = 4.3002 Å, b = 7.0648 Å, c = 9.0225 Å
α = 89.59°, β = 89.92°, γ = 89.90°
With the nearest neighbours (Å) after each atom.
Fractional coordinates of all 8 atoms:
In (0.0000, 0.0000, 0.0000)  1 Br 2.51, 3 P 2.61-2.67
In (0.4993, 0.4981, 0.2127)  1 Br 2.51, 3 P 2.61-2.67
P (0.9999, 0.3594, 0.0903)  1 Br 2.26
P (0.4998, 0.8591, 0.1224)  1 Br 2.26
Br (0.4936, 0.5014, 0.4904)  1 In 2.51
Br (0.4962, 0.0196, 0.3378)  1 P 2.26
Br (0.9962, 0.0086, 0.7223)  1 In 2.51
Br (0.9976, 0.5241, 0.8750)  1 P 2.26

Computed properties:
* ρ: 3.703 g cm⁻³
* spin magnetization: 0.00 μB per atom
* ΔE to the lowest computed polymorph: 19 meV per atom
* total DFT energy (no corrections): -25.99 eV per cell
* formation energy without anion corrections: -0.375 eV per atom



# 4
The following is a PBE calculation of crystalline In2PBr at its relaxed geometry, from Alexandria via LeMat-Bulk.

a = 5.6142 Å, b = 3.8472 Å, c = 6.1190 Å
α = 90.00°, β = 99.39°, γ = 90.00°
With the nearest neighbours (Å) after each atom.
Fractional coordinates of all 4 atoms:
In (0.0922, 0.0000, 0.2913)  2 P 2.62, 1 In 2.91
In (0.9078, 0.0000, 0.7087)  2 P 2.62, 1 In 2.91
P (0.0000, 0.5000, 0.0000)  4 In 2.62
Br (0.5000, 0.5000, 0.5000)  4 In 3.10

Computed properties:
* ρ: 4.336 g cm⁻³
* spin magnetization: 0.04 μB per atom
* ΔE to the lowest computed polymorph: 146 meV per atom
* total DFT energy (no corrections): -12.86 eV per cell
* formation energy without anion corrections: -0.076 eV per atom



# 5
The following is a PBE calculation of crystalline In2PBr at its relaxed geometry, from Alexandria via LeMat-Bulk.

a = 7.4763 Å, b = 7.4763 Å, c = 8.7186 Å
α = 90.00°, β = 90.00°, γ = 90.00°
With the nearest neighbours (Å) after each atom.
Fractional coordinates of all 16 atoms:
In (0.2009, 0.2500, 0.1250)  2 P 2.63
In (0.2500, 0.7009, 0.3750)  2 P 2.63
In (0.2500, 0.7991, 0.8750)  2 P 2.63
In (0.2991, 0.2500, 0.6250)  2 P 2.63
In (0.7009, 0.7500, 0.6250)  2 P 2.63
In (0.7500, 0.2009, 0.8750)  2 P 2.63
In (0.7500, 0.2991, 0.3750)  2 P 2.63
In (0.7991, 0.7500, 0.1250)  2 P 2.63
P (0.0000, 0.0000, 0.0000)  4 In 2.63
P (0.0000, 0.5000, 0.2500)  4 In 2.63
P (0.5000, 0.0000, 0.7500)  4 In 2.63
P (0.5000, 0.5000, 0.5000)  4 In 2.63
Br (0.0000, 0.0000, 0.5000)  4 In 3.11
Br (0.0000, 0.5000, 0.7500)  4 In 3.11
Br (0.5000, 0.0000, 0.2500)  4 In 3.11
Br (0.5000, 0.5000, 0.0000)  4 In 3.11

Computed properties:
* ρ: 4.641 g cm⁻³
* spin magnetization: 0.00 μB per atom
* ΔE to the lowest computed polymorph: 148 meV per atom
* total DFT energy (no corrections): -51.43 eV per cell
* formation energy without anion corrections: -0.074 eV per atom



# 6
The following is a PBE calculation of crystalline InPBr at its relaxed geometry, from Alexandria via LeMat-Bulk.

a = 6.7787 Å, b = 6.7787 Å, c = 6.7787 Å
α = 90.00°, β = 90.00°, γ = 90.00°
With the nearest neighbours (Å) after each atom.
Fractional coordinates of all 12 atoms:
In (0.0000, 0.0000, 0.0000)  4 P 2.94
In (0.0000, 0.5000, 0.5000)  4 P 2.94
In (0.5000, 0.0000, 0.5000)  4 P 2.94
In (0.5000, 0.5000, 0.0000)  4 P 2.94
P (0.2500, 0.2500, 0.7500)  4 In 2.94, 4 Br 2.94
P (0.2500, 0.7500, 0.2500)  4 In 2.94, 4 Br 2.94
P (0.7500, 0.2500, 0.2500)  4 In 2.94, 4 Br 2.94
P (0.7500, 0.7500, 0.7500)  4 In 2.94, 4 Br 2.94
Br (0.0000, 0.0000, 0.5000)  4 P 2.94
Br (0.0000, 0.5000, 0.0000)  4 P 2.94
Br (0.5000, 0.0000, 0.0000)  4 P 2.94
Br (0.5000, 0.5000, 0.5000)  4 P 2.94

Computed properties:
* ρ: 4.813 g cm⁻³
* spin magnetization: 0.00 μB per atom
* ΔE to the lowest computed polymorph: 458 meV per atom
* total DFT energy (no corrections): -35.48 eV per cell
* formation energy without anion corrections: 0.317 eV per atom



# 7
The following is a PBE calculation of crystalline In2P2Br at its relaxed geometry, from Alexandria via LeMat-Bulk.

a = 3.4459 Å, b = 3.4459 Å, c = 20.3936 Å
α = 90.00°, β = 90.00°, γ = 90.00°
With the nearest neighbours (Å) after each atom.
Fractional coordinates of all 10 atoms:
In (0.0000, 0.0000, 0.1108)  4 P 3.32, 4 Br 3.32, 4 In 3.45
In (0.0000, 0.0000, 0.8892)  4 P 3.32, 4 Br 3.32, 4 In 3.45
In (0.5000, 0.5000, 0.3892)  4 P 3.32, 4 Br 3.32, 4 In 3.45
In (0.5000, 0.5000, 0.6108)  4 P 3.32, 4 Br 3.32, 4 In 3.45
P (0.0000, 0.5000, 0.2500)  4 P 2.44
P (0.0000, 0.5000, 0.7500)  4 P 2.44
P (0.5000, 0.0000, 0.2500)  4 P 2.44
P (0.5000, 0.0000, 0.7500)  4 P 2.44
Br (0.0000, 0.0000, 0.5000)  8 In 3.32, 4 Br 3.45
Br (0.5000, 0.5000, 0.0000)  8 In 3.32, 4 Br 3.45

Computed properties:
* ρ: 5.095 g cm⁻³
* spin magnetization: 0.00 μB per atom
* total DFT energy (no corrections): -36.17 eV per cell
* formation energy without anion corrections: -0.023 eV per atom



# 8
The following is a PBE calculation of crystalline InPBr2 at its relaxed geometry, from Alexandria via LeMat-Bulk.

a = 4.2388 Å, b = 6.9853 Å, c = 8.8470 Å
α = 90.00°, β = 97.44°, γ = 90.00°
With the nearest neighbours (Å) after each atom.
Fractional coordinates of all 8 atoms:
In (0.2023, 0.0000, 0.4807)  3 P 2.59-2.61, 1 Br 2.81
In (0.7977, 0.5000, 0.5193)  3 P 2.59-2.61, 1 Br 2.81
P (0.3263, 0.6763, 0.6190)  1 Br 2.23
P (0.6737, 0.1763, 0.3810)  1 Br 2.23
Br (0.0022, 0.1898, 0.7316)  2 In 2.81-2.92
Br (0.4622, 0.6941, 0.8705)  1 P 2.23
Br (0.5378, 0.1941, 0.1295)  1 P 2.23
Br (0.9978, 0.6898, 0.2684)  2 In 2.81-2.92

Computed properties:
* ρ: 3.907 g cm⁻³
* spin magnetization: 0.00 μB per atom
* ΔE to the lowest computed polymorph: 0 meV per atom
* total DFT energy (no corrections): -26.15 eV per cell
* formation energy without anion corrections: -0.395 eV per atom



# 9
The following is a PBE calculation of crystalline InPBr2 at its relaxed geometry, from Alexandria via LeMat-Bulk.

a = 3.4376 Å, b = 3.4376 Å, c = 30.0181 Å
α = 90.00°, β = 90.00°, γ = 120.00°
With the nearest neighbours (Å) after each atom.
Fractional coordinates of all 12 atoms:
In (0.0000, 0.0000, 0.0000)  2 Br 2.94
In (0.3333, 0.6667, 0.6667)  2 Br 2.94
In (0.6667, 0.3333, 0.3333)  2 Br 2.94
P (0.0000, 0.0000, 0.5000)  6 Br 2.86
P (0.3333, 0.6667, 0.1667)  6 Br 2.86
P (0.6667, 0.3333, 0.8333)  6 Br 2.86
Br (0.0000, 0.0000, 0.0979)  3 P 2.86, 1 In 2.94
Br (0.0000, 0.0000, 0.9021)  3 P 2.86, 1 In 2.94
Br (0.3333, 0.6667, 0.5687)  3 P 2.86, 1 In 2.94
Br (0.3333, 0.6667, 0.7646)  3 P 2.86, 1 In 2.94
Br (0.6667, 0.3333, 0.2354)  3 P 2.86, 1 In 2.94
Br (0.6667, 0.3333, 0.4313)  3 P 2.86, 1 In 2.94

Computed properties:
* ρ: 4.956 g cm⁻³
* spin magnetization: 0.00 μB per atom
* ΔE to the lowest computed polymorph: 767 meV per atom
* total DFT energy (no corrections): -30.01 eV per cell
* formation energy without anion corrections: 0.372 eV per atom



# 10
The following is a PBE calculation of crystalline InPBr2 at its relaxed geometry, from Alexandria via LeMat-Bulk.

a = 7.1397 Å, b = 4.4339 Å, c = 9.1654 Å
α = 90.00°, β = 105.24°, γ = 90.00°
With the nearest neighbours (Å) after each atom.
Fractional coordinates of all 8 atoms:
In (0.0000, 0.0000, 0.0000)  1 Br 2.58, 3 P 2.58-2.63
In (0.5000, 0.5000, 0.0000)  1 Br 2.58, 3 P 2.58-2.63
P (0.3738, 0.0000, 0.0955)  1 Br 2.24
P (0.8738, 0.5000, 0.0955)  1 Br 2.24
Br (0.2141, 0.5000, 0.7595)  1 In 2.58
Br (0.4293, 0.0000, 0.3475)  1 P 2.24
Br (0.7141, 0.0000, 0.7595)  1 In 2.58
Br (0.9293, 0.5000, 0.3475)  1 P 2.24

Computed properties:
* ρ: 3.625 g cm⁻³
* spin magnetization: 0.00 μB per atom
* ΔE to the lowest computed polymorph: 32 meV per atom
* total DFT energy (no corrections): -25.89 eV per cell
* formation energy without anion corrections: -0.363 eV per atom



# 11
The following is a PBE calculation of crystalline InPBr2 at its relaxed geometry, from Alexandria via LeMat-Bulk.

a = 4.0853 Å, b = 4.0853 Å, c = 13.1233 Å
α = 90.00°, β = 90.00°, γ = 90.00°
With the nearest neighbours (Å) after each atom.
Fractional coordinates of all 8 atoms:
In (0.0000, 0.0000, 0.0000)  4 Br 2.89
In (0.5000, 0.5000, 0.5000)  4 Br 2.89
P (0.0000, 0.5000, 0.7500)  4 Br 2.89
P (0.5000, 0.0000, 0.2500)  4 Br 2.89
Br (0.0000, 0.0000, 0.5000)  4 In 2.89
Br (0.0000, 0.5000, 0.2500)  4 P 2.89
Br (0.5000, 0.0000, 0.7500)  4 P 2.89
Br (0.5000, 0.5000, 0.0000)  4 In 2.89

Computed properties:
* ρ: 4.634 g cm⁻³
* spin magnetization: 0.00 μB per atom
* ΔE to the lowest computed polymorph: 672 meV per atom
* total DFT energy (no corrections): -20.77 eV per cell
* formation energy without anion corrections: 0.277 eV per atom



# 12
The following is a PBE calculation of crystalline In2PBr at its relaxed geometry, from Alexandria via LeMat-Bulk.

a = 7.2821 Å, b = 7.2821 Å, c = 7.2821 Å
α = 90.00°, β = 90.00°, γ = 90.00°
With the nearest neighbours (Å) after each atom.
Fractional coordinates of all 16 atoms:
In (0.2500, 0.2500, 0.2500)  4 Br 3.15, 4 P 3.15
In (0.2500, 0.2500, 0.7500)  4 Br 3.15, 4 P 3.15
In (0.2500, 0.7500, 0.2500)  4 Br 3.15, 4 P 3.15
In (0.2500, 0.7500, 0.7500)  4 Br 3.15, 4 P 3.15
In (0.7500, 0.2500, 0.2500)  4 Br 3.15, 4 P 3.15
In (0.7500, 0.2500, 0.7500)  4 Br 3.15, 4 P 3.15
In (0.7500, 0.7500, 0.2500)  4 Br 3.15, 4 P 3.15
In (0.7500, 0.7500, 0.7500)  4 Br 3.15, 4 P 3.15
P (0.0000, 0.0000, 0.0000)  8 In 3.15
P (0.0000, 0.5000, 0.5000)  8 In 3.15
P (0.5000, 0.0000, 0.5000)  8 In 3.15
P (0.5000, 0.5000, 0.0000)  8 In 3.15
Br (0.0000, 0.0000, 0.5000)  8 In 3.15
Br (0.0000, 0.5000, 0.0000)  8 In 3.15
Br (0.5000, 0.0000, 0.0000)  8 In 3.15
Br (0.5000, 0.5000, 0.5000)  8 In 3.15

Computed properties:
* ρ: 5.857 g cm⁻³
* spin magnetization: 0.00 μB per atom
* ΔE to the lowest computed polymorph: 252 meV per atom
* total DFT energy (no corrections): -49.76 eV per cell
* formation energy without anion corrections: 0.030 eV per atom